(1)
Density functional theory data (PBE) for a geometry-optimized KBaSr2 structure.

## Properties
Space-group type   C2/m, No. 12
Offset from the most stable computed form   31 meV/atom
ΔE_f   0.32 eV per formula unit
Calculated volume   242 Å³/cell
Crystal system   monoclinic

Cell: 8.230 8.230 4.252 Å, 99.94 99.94 117.17°
Fractional coordinates of all 4 atoms:
K 0.000 0.000 0.000
Ba 0.500 0.500 0.000
Sr 0.000 0.500 0.500
Sr 0.500 0.000 0.500

(2)
Density functional theory data (PBE) for a geometry-optimized KBaSr2 structure.

## Properties
Space-group type   Cm, No. 8
Offset from the most stable computed form   28 meV/atom
ΔE_f   0.31 eV per formula unit
Calculated volume   242 Å³/cell
Crystal system   monoclinic

Cell: 7.616 7.616 7.761 Å, 98.14 98.14 32.93°
Fractional coordinates of all 4 atoms:
K 0.000 0.000 0.000
Ba 0.247 0.247 0.742
Sr 0.496 0.496 0.494
Sr 0.750 0.750 0.257

Q: Which formula does entry 1 have?
A: KBaSr2